Entry 1:
CuIr2Pb | Alexandria | GGA-PBEsol | optimized geometry; DFT formation energy = 43.32 kJ/mol of atoms
1.0
2.922 0.000 0.000
-1.461 4.292 -0.007
0.000 -0.847 5.221
Cu Ir Pb
1 2 1
Direct
0.741 0.481 0.207 Cu
0.000 0.999 0.003 Ir
0.259 0.518 0.802 Ir
0.501 0.001 0.489 Pb

=====

Entry 2:
CuIrPb2 | Alexandria | GGA-PBEsol | optimized geometry; DFT formation energy = 25.70 kJ/mol of atoms
1.0
3.210 0.000 0.000
0.000 3.211 0.000
0.000 0.000 8.021
Cu Ir Pb
1 1 2
Direct
0.000 0.000 0.542 Cu
0.500 0.500 0.703 Ir
0.000 0.000 0.927 Pb
0.500 0.500 0.328 Pb

=====

Entry 3:
CuIr2Pb | Alexandria | GGA-PBEsol | optimized geometry; DFT formation energy = 40.39 kJ/mol of atoms
1.0
-3.453 0.066 -2.788
-0.786 -3.479 -2.642
-3.510 -2.610 0.753
Cu Ir Pb
1 2 1
Direct
0.000 0.000 0.000 Cu
0.250 0.250 0.250 Ir
0.750 0.750 0.750 Ir
0.500 0.500 0.500 Pb

=====

Entry 4:
CuIr2Pb | Alexandria | GGA-PBEsol | optimized geometry; DFT formation energy = 51.70 kJ/mol of atoms
1.0
2.913 0.000 0.000
0.000 4.592 0.000
0.000 0.000 4.737
Cu Ir Pb
1 2 1
Direct
0.000 0.500 0.500 Cu
0.000 0.000 0.000 Ir
0.500 0.000 0.500 Ir
0.500 0.500 0.000 Pb

=====

Entry 5:
CuIrPd2 | Alexandria | GGA-PBEsol | optimized geometry; DFT formation energy = 26.61 kJ/mol of atoms
1.0
4.287 0.000 0.000
2.143 3.713 0.000
2.143 1.238 3.500
Ir Cu Pd
1 1 2
Direct
0.500 0.500 0.500 Ir
0.000 0.000 0.000 Cu
0.250 0.250 0.250 Pd
0.750 0.750 0.750 Pd

=====

Entry 6:
Cu2IrPdS | Alexandria | GGA-PBEsol | optimized geometry; formation energy without anion corrections = 1327.7 meV/atom
1.0
4.230 0.000 0.000
0.000 4.507 0.000
0.000 0.000 4.507
S Ir Cu Pd
1 1 2 1
Direct
0.500 0.000 0.000 S
0.500 0.500 0.500 Ir
0.000 0.000 0.500 Cu
0.000 0.500 0.000 Cu
0.000 0.000 0.000 Pd

=====

Entry 7:
Pm2CuIr | Alexandria | GGA-PBEsol | optimized geometry; DFT formation energy = -39.77 kJ/mol of atoms
1.0
4.918 0.000 0.000
2.459 4.259 0.000
2.459 1.420 4.015
Ir Cu Pm
1 1 2
Direct
0.500 0.500 0.500 Ir
0.000 0.000 0.000 Cu
0.750 0.750 0.750 Pm
0.250 0.250 0.250 Pm

=====

Entry 8:
CuIr4Pt | Alexandria | GGA-PBEsol | optimized geometry; DFT formation energy = 69.90 kJ/mol of atoms
1.0
-3.347 -1.020 -3.674
-1.274 -4.807 -1.008
-4.631 -1.699 1.187
Cu Ir Pt
1 4 1
Direct
0.000 0.000 0.000 Cu
0.375 0.375 0.375 Ir
0.375 0.375 0.875 Ir
0.875 0.375 0.375 Ir
0.375 0.875 0.375 Ir
0.750 0.750 0.750 Pt